# 1
Entry from the Alexandria database: crystalline InAsCl4 at its relaxed geometry (PBE).

Cell and atoms, written as CIF:
```
data_InAsCl4
_chemical_formula_sum 'In1 As1 Cl4'
_cell_length_a 6.070
_cell_length_b 6.070
_cell_length_c 6.070
_cell_angle_alpha 60.00
_cell_angle_beta 60.00
_cell_angle_gamma 60.00
_space_group_name_H-M_alt 'P 1'
_space_group_IT_number 1
loop_
_space_group_symop_operation_xyz
'x,y,z'
loop_
_atom_site_label
_atom_site_type_symbol
_atom_site_fract_x
_atom_site_fract_y
_atom_site_fract_z
Cl1 Cl 0.625 0.124 0.625
Cl2 Cl 0.625 0.625 0.124
Cl3 Cl 0.124 0.625 0.625
In1 In 0.250 0.250 0.250
Cl4 Cl 0.625 0.625 0.625
As1 As 0.000 0.000 0.000
```

Computed properties:
**Energy relative to the elements, uncorrected**: 0.520 eV/atom
**Magnetic moment**: 4.121 μB/cell
**Crystal system**: cubic

# 2
Entry from the Alexandria database: crystalline InHg5 at its relaxed geometry (PBE).

Cell and atoms, written as CIF:
```
data_InHg5
_chemical_formula_sum 'In1 Hg5'
_cell_length_a 7.613
_cell_length_b 7.613
_cell_length_c 5.223
_cell_angle_alpha 90.00
_cell_angle_beta 90.00
_cell_angle_gamma 147.89
_space_group_name_H-M_alt 'P 1'
_space_group_IT_number 1
loop_
_space_group_symop_operation_xyz
'x,y,z'
loop_
_atom_site_label
_atom_site_type_symbol
_atom_site_fract_x
_atom_site_fract_y
_atom_site_fract_z
Hg1 Hg 0.473 0.527 0.500
Hg2 Hg 0.304 0.696 0.000
Hg3 Hg 0.639 0.361 0.000
Hg4 Hg 0.139 0.861 0.500
In1 In 0.972 0.028 0.000
Hg5 Hg 0.807 0.193 0.500
```

Computed properties:
**Calculated formation energy**: 0.0 eV/f.u.
**Magnetic moment**: 0.000 μB/cell
**Crystal system**: orthorhombic

# 3
Entry from the Alexandria database: crystalline TlCu4Pb3I12 at its relaxed geometry (PBE).

Cell and atoms, written as CIF:
```
data_TlCu4Pb3I12
_chemical_formula_sum 'Tl1 Cu4 Pb3 I12'
_cell_length_a 10.154
_cell_length_b 10.154
_cell_length_c 10.154
_cell_angle_alpha 105.10
_cell_angle_beta 105.10
_cell_angle_gamma 105.10
_space_group_name_H-M_alt 'P 1'
_space_group_IT_number 1
loop_
_space_group_symop_operation_xyz
'x,y,z'
loop_
_atom_site_label
_atom_site_type_symbol
_atom_site_fract_x
_atom_site_fract_y
_atom_site_fract_z
I1 I 0.346 0.982 0.214
I2 I 0.097 0.903 0.500
I3 I 0.500 0.345 0.655
Pb1 Pb 0.000 0.550 0.450
Tl1 Tl 0.000 0.000 0.000
I4 I 0.655 0.500 0.345
Cu1 Cu 0.937 0.063 0.500
I5 I 0.345 0.655 0.500
I6 I 0.500 0.097 0.903
I7 I 0.018 0.654 0.786
Cu2 Cu 0.500 0.937 0.063
Cu3 Cu 0.063 0.500 0.937
I8 I 0.903 0.500 0.097
I9 I 0.654 0.786 0.018
Pb2 Pb 0.550 0.450 0.000
Pb3 Pb 0.450 0.000 0.550
I10 I 0.982 0.214 0.346
I11 I 0.786 0.018 0.654
I12 I 0.214 0.346 0.982
Cu4 Cu 0.500 0.500 0.500
```

Computed properties:
**Energy relative to the elements, uncorrected**: -0.351 eV/atom
**Magnetic moment**: 0.891 μB/cell
**Crystal system**: trigonal

# 4
Entry from the Alexandria database: crystalline VCoGeRh at its relaxed geometry (PBE).

Cell and atoms, written as CIF:
```
data_VCoGeRh
_chemical_formula_sum 'V1 Co1 Ge1 Rh1'
_cell_length_a 4.212
_cell_length_b 4.212
_cell_length_c 4.212
_cell_angle_alpha 60.00
_cell_angle_beta 60.00
_cell_angle_gamma 60.00
_space_group_name_H-M_alt 'P 1'
_space_group_IT_number 1
loop_
_space_group_symop_operation_xyz
'x,y,z'
loop_
_atom_site_label
_atom_site_type_symbol
_atom_site_fract_x
_atom_site_fract_y
_atom_site_fract_z
V1 V 0.750 0.750 0.750
Co1 Co 0.500 0.500 0.500
Ge1 Ge 0.250 0.250 0.250
Rh1 Rh 0.000 0.000 0.000
```

Computed properties:
**Calculated formation energy**: -1.1 eV/f.u.
**Magnetic moment**: 2.913 μB/cell
**Crystal system**: cubic

# 5
Entry from the Alexandria database: crystalline TiCuPb2 at its relaxed geometry (PBE).

Cell and atoms, written as CIF:
```
data_TiCuPb2
_chemical_formula_sum 'Ti1 Cu1 Pb2'
_cell_length_a 4.982
_cell_length_b 4.982
_cell_length_c 4.982
_cell_angle_alpha 60.00
_cell_angle_beta 60.00
_cell_angle_gamma 60.00
_space_group_name_H-M_alt 'P 1'
_space_group_IT_number 1
loop_
_space_group_symop_operation_xyz
'x,y,z'
loop_
_atom_site_label
_atom_site_type_symbol
_atom_site_fract_x
_atom_site_fract_y
_atom_site_fract_z
Pb1 Pb 0.250 0.250 0.250
Ti1 Ti 0.000 0.000 0.000
Cu1 Cu 0.500 0.500 0.500
Pb2 Pb 0.750 0.750 0.750
```

Computed properties:
**Calculated formation energy**: 1.5 eV/f.u.
**Magnetic moment**: 1.613 μB/cell
**Crystal system**: cubic

# 6
Entry from the Alexandria database: crystalline LiLaThTc at its relaxed geometry (PBE).

Cell and atoms, written as CIF:
```
data_LiLaThTc
_chemical_formula_sum 'Li1 La1 Th1 Tc1'
_cell_length_a 5.128
_cell_length_b 5.128
_cell_length_c 5.128
_cell_angle_alpha 60.00
_cell_angle_beta 60.00
_cell_angle_gamma 60.00
_space_group_name_H-M_alt 'P 1'
_space_group_IT_number 1
loop_
_space_group_symop_operation_xyz
'x,y,z'
loop_
_atom_site_label
_atom_site_type_symbol
_atom_site_fract_x
_atom_site_fract_y
_atom_site_fract_z
Th1 Th 0.250 0.250 0.250
Li1 Li 0.000 0.000 0.000
Tc1 Tc 0.500 0.500 0.500
La1 La 0.750 0.750 0.750
```

Computed properties:
**Calculated formation energy**: 0.2 eV/f.u.
**Magnetic moment**: 0.000 μB/cell
**Crystal system**: cubic

# 7
Entry from the Alexandria database: crystalline Sm2Zn15Rh2 at its relaxed geometry (PBE).

Cell and atoms, written as CIF:
```
data_Sm2Zn15Rh2
_chemical_formula_sum 'Sm2 Zn15 Rh2'
_cell_length_a 6.794
_cell_length_b 6.794
_cell_length_c 6.794
_cell_angle_alpha 83.27
_cell_angle_beta 83.27
_cell_angle_gamma 83.27
_space_group_name_H-M_alt 'P 1'
_space_group_IT_number 1
loop_
_space_group_symop_operation_xyz
'x,y,z'
loop_
_atom_site_label
_atom_site_type_symbol
_atom_site_fract_x
_atom_site_fract_y
_atom_site_fract_z
Sm1 Sm 0.334 0.334 0.334
Zn1 Zn 0.500 0.000 0.000
Zn2 Zn 0.151 0.649 0.649
Zn3 Zn 0.849 0.351 0.351
Zn4 Zn 0.000 0.717 0.283
Zn5 Zn 0.000 0.000 0.500
Zn6 Zn 0.283 0.000 0.717
Zn7 Zn 0.649 0.151 0.649
Zn8 Zn 0.351 0.849 0.351
Zn9 Zn 0.717 0.283 0.000
Rh1 Rh 0.891 0.891 0.891
Sm2 Sm 0.666 0.666 0.666
Rh2 Rh 0.109 0.109 0.109
Zn10 Zn 0.000 0.283 0.717
Zn11 Zn 0.283 0.717 0.000
Zn12 Zn 0.351 0.351 0.849
Zn13 Zn 0.000 0.500 0.000
Zn14 Zn 0.717 0.000 0.283
Zn15 Zn 0.649 0.649 0.151
```

Computed properties:
**Calculated formation energy**: -5.8 eV/f.u.
**Magnetic moment**: 0.000 μB/cell
**Crystal system**: trigonal

# 8
Entry from the Alexandria database: crystalline PrTmSi2Pt5 at its relaxed geometry (PBE).

Cell and atoms, written as CIF:
```
data_PrTmSi2Pt5
_chemical_formula_sum 'Pr1 Tm1 Si2 Pt5'
_cell_length_a 4.248
_cell_length_b 4.248
_cell_length_c 8.966
_cell_angle_alpha 90.00
_cell_angle_beta 90.00
_cell_angle_gamma 90.00
_space_group_name_H-M_alt 'P 1'
_space_group_IT_number 1
loop_
_space_group_symop_operation_xyz
'x,y,z'
loop_
_atom_site_label
_atom_site_type_symbol
_atom_site_fract_x
_atom_site_fract_y
_atom_site_fract_z
Pt1 Pt 0.000 0.500 0.744
Pt2 Pt 0.500 0.500 0.500
Pt3 Pt 0.500 0.000 0.256
Tm1 Tm 0.000 0.000 0.000
Pt4 Pt 0.000 0.500 0.256
Pr1 Pr 0.000 0.000 0.500
Pt5 Pt 0.500 0.000 0.744
Si1 Si 0.500 0.500 0.869
Si2 Si 0.500 0.500 0.131
```

Computed properties:
**Energy relative to the elements, uncorrected**: -1.017 eV/atom
**Magnetic moment**: 0.000 μB/cell
**Crystal system**: tetragonal

Number 1: DOS(E_F) 7.08 states/eV per cell, total energy -1.942 eV/atom. Number 2: DOS(E_F) 1.48 states/eV per cell, total energy -0.711 eV/atom. Number 3: DOS(E_F) 16.80 states/eV per cell, total energy -2.775 eV/atom. Number 4: DOS(E_F) 3.16 states/eV per cell, total energy -7.316 eV/atom. Number 5: DOS(E_F) 4.16 states/eV per cell, total energy -4.472 eV/atom. Number 6: DOS(E_F) 3.37 states/eV per cell, total energy -6.108 eV/atom. Number 7: DOS(E_F) 8.17 states/eV per cell, total energy -2.581 eV/atom. Number 8: DOS(E_F) 3.28 states/eV per cell, total energy -6.606 eV/atom.